Compound: Be2CdPb
Source: the Alexandria database
Functional: GGA-PBE
Structure: relaxed

The excess energy over the best structure of this formula in the dataset comes out at 0 meV/atom.

Lattice parameters (Å, degrees): 6.6610 3.8391 6.1856 90.00 106.43 90.00
Space group Cm (No. 8)
Inequivalent atoms, fractional coordinates:
Be (0.0000, 0.0000, 0.0000) [2 per cell]
Be (0.1681, 0.5000, 0.0005) [2 per cell]
Cd (0.4017, 0.0000, 0.2438) [2 per cell]
Pb (0.2477, 0.0000, 0.6911) [2 per cell]